Ni17As6O32, optimized geometry, DFT GGA+U; total moment = 0.618 μB/atom; energy above the lowest structure with this stoichiometry = 0 meV/atom; crystal system = monoclinic
1.0
12.033 0.000 0.000
0.000 9.929 0.013
0.000 3.651 9.810
Ni As O
34 12 64
direct
0.622 0.001 0.242
0.500 0.743 0.248
0.622 0.743 0.004
0.498 0.264 0.247
0.378 0.999 0.758
0.243 0.000 0.501
0.500 0.000 0.500
0.502 0.736 0.753
0.251 0.737 0.757
0.375 0.736 0.506
0.378 0.257 0.996
0.500 0.257 0.752
0.250 0.268 0.745
0.000 0.000 0.000
0.257 0.000 0.001
0.249 0.737 0.257
0.998 0.736 0.253
0.125 0.736 0.006
0.122 0.257 0.496
0.250 0.268 0.245
0.000 0.257 0.252
0.757 0.000 0.499
0.122 0.999 0.258
0.000 0.743 0.748
0.750 0.732 0.755
0.878 0.743 0.504
0.875 0.264 0.994
0.002 0.264 0.747
0.751 0.263 0.743
0.743 0.000 0.999
0.878 0.001 0.742
0.750 0.732 0.255
0.625 0.264 0.494
0.749 0.263 0.243
0.625 0.000 0.750
0.625 0.422 0.943
0.375 0.000 0.250
0.375 0.424 0.443
0.125 0.000 0.750
0.125 0.424 0.943
0.875 0.000 0.250
0.375 0.578 0.057
0.875 0.422 0.443
0.125 0.578 0.557
0.875 0.576 0.057
0.625 0.576 0.557
0.625 0.612 0.880
0.483 0.120 0.147
0.631 0.121 0.848
0.633 0.859 0.136
0.623 0.628 0.382
0.375 0.615 0.379
0.493 0.630 0.119
0.493 0.371 0.381
0.236 0.115 0.639
0.515 0.115 0.637
0.373 0.113 0.364
0.376 0.869 0.627
0.485 0.885 0.363
0.376 0.629 0.883
0.125 0.615 0.879
0.507 0.629 0.619
0.243 0.630 0.620
0.507 0.370 0.881
0.243 0.372 0.883
0.377 0.372 0.618
0.264 0.115 0.139
0.985 0.115 0.137
0.367 0.141 0.864
0.127 0.113 0.864
0.369 0.879 0.152
0.124 0.869 0.127
0.517 0.880 0.853
0.237 0.885 0.867
0.124 0.629 0.383
0.875 0.612 0.380
0.257 0.630 0.120
0.993 0.629 0.119
0.257 0.372 0.383
0.993 0.370 0.381
0.375 0.388 0.120
0.123 0.372 0.118
0.737 0.115 0.633
0.017 0.120 0.647
0.133 0.141 0.364
0.869 0.121 0.348
0.131 0.879 0.652
0.867 0.859 0.636
0.263 0.885 0.367
0.983 0.880 0.353
0.877 0.628 0.882
0.007 0.630 0.619
0.743 0.628 0.617
0.007 0.371 0.881
0.743 0.370 0.880
0.125 0.388 0.620
0.876 0.371 0.617
0.763 0.115 0.133
0.876 0.131 0.873
0.873 0.887 0.136
0.015 0.885 0.863
0.736 0.885 0.861
0.757 0.628 0.117
0.757 0.370 0.380
0.875 0.385 0.121
0.624 0.371 0.117
0.624 0.131 0.373
0.627 0.887 0.636
0.764 0.885 0.361
0.625 0.385 0.621